Record 1
Material: CdMo2Ru
Method: DFT, GGA-PBE
State: relaxed

Unit cell a=9.5296 b=2.8500 c=4.9584 alpha=90.00 beta=102.28 gamma=90.00
Atoms (fractional coordinates):
Cd1 0.0000 0.0000 0.0000
Cd2 0.5000 0.5000 0.0000
Mo1 0.2344 0.0000 0.7200
Mo2 0.4878 0.0000 0.4908
Mo3 0.7344 0.5000 0.7200
Mo4 0.9878 0.5000 0.4908
Ru1 0.2599 0.5000 0.2750
Ru2 0.7599 0.0000 0.2750

For the total moment, the calculation gives 0.0 μB per formula unit. The formation enthalpy at 0 K comes out at 370.7 meV per atom. The total energy comes out at -30.4 eV/f.u.

Record 2
Material: CdMo2Ru
Method: DFT, GGA-PBE
State: relaxed

Unit cell a=2.8138 b=4.0332 c=5.8522 alpha=90.00 beta=90.00 gamma=90.00
Atoms (fractional coordinates):
Cd1 0.0000 0.0000 0.0000
Mo1 0.0000 0.0000 0.5123
Mo2 0.5000 0.5000 0.2827
Ru1 0.5000 0.5000 0.7157

For the total moment, the calculation gives 0.0 μB per formula unit. The formation enthalpy at 0 K comes out at 339.3 meV per atom. The total energy comes out at -30.5 eV/f.u.